(1)
Material: HfGaSn
Method: DFT, PBE-GGA
State: relaxed

The structure in extended XYZ format:
```
3
Lattice="-2.764 -1.337 -3.462 -3.761 2.482 -1.048 -0.138 2.444 -3.926" Properties=species:S:1:pos:R:3 pbc="T T T"
Ga 0.000 0.000 0.000
Hf -1.666 0.897 -2.109
Sn -4.998 2.692 -6.327
```

energy = -5.4196 eV per atom
SG = F-43m (216)

=====

(2)
Material: HfNF
Method: DFT, PBE-GGA
State: relaxed

The structure in extended XYZ format:
```
6
Lattice="-1.273 2.645 1.543 -3.743 -1.520 -0.482 0.448 -2.671 4.949" Properties=species:S:1:pos:R:3 pbc="T T T"
F -1.685 -1.871 1.817
F -0.375 -0.238 3.663
Hf -2.434 0.122 1.346
Hf 0.374 -2.231 4.134
N -0.605 1.137 1.115
N -1.455 -3.246 4.365
```

energy = -9.2612 eV per atom
SG = Pmmn (59)

=====

(3)
Material: Er3Mg3Zn2In
Method: DFT, PBE-GGA
State: relaxed

The structure in extended XYZ format:
```
9
Lattice="-4.171 1.373 5.824 -2.654 -3.929 -5.542 1.493 -3.771 1.958" Properties=species:S:1:pos:R:3 pbc="T T T"
Er -1.801 0.593 2.515
Er -1.146 -1.697 -2.393
Er -3.878 -1.452 0.160
In 0.000 0.000 0.000
Mg -2.381 -0.856 5.346
Mg -0.961 -2.525 1.050
Mg -1.244 -4.831 -3.176
Zn -2.919 -2.280 3.014
Zn -2.413 -4.047 -0.774
```

energy = -2.8917 eV per atom
SG = P-62m (189)

=====

(4)
Material: LiPuB
Method: DFT, PBE-GGA
State: relaxed

The structure in extended XYZ format:
```
3
Lattice="4.027 -0.741 0.871 1.084 -3.445 2.117 2.026 -3.103 -1.947" Properties=species:S:1:pos:R:3 pbc="T T T"
B 0.000 0.000 0.000
Li 3.568 -3.644 0.520
Pu 1.784 -1.822 0.260
```

energy = -6.6723 eV per atom
SG = F-43m (216)

=====

(5)
Material: SrMg2SiPt
Method: DFT, PBE-GGA
State: relaxed

The structure in extended XYZ format:
```
5
Lattice="-2.234 2.234 5.608 2.234 -2.234 5.608 2.234 2.234 -5.608" Properties=species:S:1:pos:R:3 pbc="T T T"
Mg 0.000 2.234 2.811
Mg 2.234 0.000 2.811
Pt 0.000 0.000 4.386
Si 0.000 0.000 6.776
Sr 0.000 0.000 0.041
```

energy = -3.8591 eV per atom
SG = I4mm (107)

=====

(6)
Material: Tb3Tl2Hg
Method: DFT, PBE-GGA
State: relaxed

The structure in extended XYZ format:
```
6
Lattice="-2.371 -2.800 -0.668 2.748 -2.459 0.557 -2.671 -0.428 11.280" Properties=species:S:1:pos:R:3 pbc="T T T"
Hg -1.147 -2.844 5.585
Tb 0.000 0.000 0.000
Tb -0.915 -0.147 3.863
Tb -1.756 -0.281 7.417
Tl -0.272 -2.704 1.889
Tl -2.022 -2.984 9.280
```

energy = -3.5512 eV per atom
SG = P4/mmm (123)

=====

(7)
Material: KGdCuS3
Method: DFT, PBE-GGA
State: relaxed

The structure in extended XYZ format:
```
12
Lattice="8.698 0.000 0.000 0.000 3.973 0.000 -2.718 0.000 8.948" Properties=species:S:1:pos:R:3 pbc="T T T"
Cu 6.893 2.980 3.538
Cu -0.913 0.993 5.410
Gd 5.471 0.993 1.283
Gd 0.509 2.980 7.665
K 1.134 0.993 2.114
K 4.846 2.980 6.834
S 7.373 2.980 1.295
S 3.560 2.980 1.430
S 5.851 0.993 4.130
S 0.130 2.980 4.818
S 2.421 0.993 7.518
S -1.393 0.993 7.653
```

energy = -4.9032 eV per atom
SG = P2_1/m (11)

=====

(8)
Material: HoTmFe
Method: DFT, PBE-GGA
State: relaxed

The structure in extended XYZ format:
```
3
Lattice="-4.598 -0.268 0.407 -2.541 3.862 0.108 -2.706 1.088 -3.588" Properties=species:S:1:pos:R:3 pbc="T T T"
Fe 0.000 0.000 0.000
Ho -2.461 1.170 -0.768
Tm -7.384 3.511 -2.304
```

energy of formation from the pure elements = 0.18 eV per atom
SG = F-43m (216)

=====

(9)
Material: SrIrOs
Method: DFT, PBE-GGA
State: relaxed

The structure in extended XYZ format:
```
3
Lattice="0.410 1.994 4.158 -3.691 1.939 2.012 -1.918 -1.983 3.718" Properties=species:S:1:pos:R:3 pbc="T T T"
Ir -1.300 0.488 2.472
Os -3.900 1.463 7.415
Sr 0.000 0.000 0.000
```

energy = -5.0948 eV per atom
SG = F-43m (216)

=====

(10)
Material: Y2Nb4Cu3C3
Method: DFT, PBE-GGA
State: relaxed

The structure in extended XYZ format:
```
24
Lattice="4.848 -2.807 0.000 4.848 2.807 0.000 -3.309 0.000 13.560" Properties=species:S:1:pos:R:3 pbc="T T T"
C 4.009 -1.457 0.000
C 2.424 1.403 0.000
C 5.687 1.457 0.000
C 2.355 1.457 6.780
C 0.770 -1.403 6.780
C 4.033 -1.457 6.780
Cu 1.638 -0.897 3.372
Cu 4.021 -2.363 3.390
Cu 6.404 -0.897 3.408
Cu -0.017 0.897 10.152
Cu 2.367 2.363 10.170
Cu 4.750 0.897 10.188
Nb 0.802 0.521 1.133
Nb 7.224 0.445 1.133
Nb 0.818 0.445 5.647
Nb 7.240 0.521 5.647
Nb -0.853 -0.521 7.913
Nb 5.570 -0.445 7.914
Nb -0.836 -0.445 12.427
Nb 5.586 -0.521 12.427
Y 4.066 0.454 1.642
Y 3.976 0.454 5.138
Y 2.412 -0.454 8.423
Y 2.321 -0.454 11.918
```

energy = -8.0106 eV per atom
SG = C2/c (15)

=====

(11)
Material: Ta2PtSe2S4
Method: DFT, PBE-GGA
State: relaxed

The structure in extended XYZ format:
```
9
Lattice="6.643 -1.655 0.000 6.643 1.655 0.000 -5.329 0.000 9.234" Properties=species:S:1:pos:R:3 pbc="T T T"
Pt 0.000 0.000 0.000
S 2.010 0.000 1.223
S -1.004 0.000 2.134
S 8.962 0.000 7.100
S 5.949 0.000 8.011
Se 2.021 0.000 4.291
Se 5.937 0.000 4.943
Ta 7.439 0.000 2.629
Ta 0.519 0.000 6.605
```

energy = -6.7166 eV per atom
SG = C2/m (12)

=====

(12)
Material: BaSm2SnO5
Method: DFT, PBE-GGA
State: relaxed

The structure in extended XYZ format:
```
9
Lattice="4.214 2.866 4.970 -2.649 4.989 4.333 -0.543 -6.696 -2.354" Properties=species:S:1:pos:R:3 pbc="T T T"
Ba 0.000 0.000 0.000
O 1.406 1.775 3.800
O 1.901 4.262 6.745
O 1.835 -1.915 1.308
O -0.384 -0.616 3.149
O -0.880 -3.103 0.204
Sm 2.166 -0.255 3.274
Sm -1.145 1.414 3.675
Sn 0.782 3.927 4.652
```

energy = -6.8939 eV per atom
SG = Immm (71)

=====

(13)
Material: HoHf3C2Se2
Method: DFT, PBE-GGA
State: relaxed

The structure in extended XYZ format:
```
8
Lattice="3.486 0.000 0.000 -1.743 3.019 0.000 0.000 0.000 12.745" Properties=species:S:1:pos:R:3 pbc="T T T"
C 0.000 2.013 0.190
C 0.000 2.013 6.333
Hf 1.743 1.006 1.290
Hf 1.743 1.006 5.163
Hf 0.000 0.000 7.513
Ho 0.000 0.000 11.494
Se 0.000 0.000 3.241
Se 1.743 1.006 9.385
```

energy = -8.6432 eV per atom
SG = P3m1 (156)

=====

(14)
Material: LiCuTe2WS
Method: DFT, PBE-GGA
State: relaxed

The structure in extended XYZ format:
```
12
Lattice="1.764 -7.052 0.000 1.764 7.052 0.000 0.000 0.000 9.493" Properties=species:S:1:pos:R:3 pbc="T T T"
Cu 1.764 6.736 2.373
Cu 1.764 -6.736 7.120
Li 1.764 -4.047 2.373
Li 1.764 4.047 7.120
S 1.764 1.081 2.373
S 1.764 -1.081 7.120
Te 1.764 4.948 0.514
Te 1.764 4.948 4.232
Te 1.764 -4.948 5.261
Te 1.764 -4.948 8.979
W 1.764 0.000 0.000
W 1.764 0.000 4.746
```

energy = -4.9778 eV per atom
SG = Cmcm (63)

=====

(15)
Material: SrTaSb
Method: DFT, PBE-GGA
State: relaxed

The structure in extended XYZ format:
```
3
Lattice="0.000 3.689 3.689 3.689 0.000 3.689 3.689 3.689 0.000" Properties=species:S:1:pos:R:3 pbc="T T T"
Sb 1.845 1.845 1.845
Sr 0.000 0.000 0.000
Ta 5.534 5.534 5.534
```

energy = -4.6140 eV per atom
SG = F-43m (216)

=====

(16)
Material: SrPuTa
Method: DFT, PBE-GGA
State: relaxed

The structure in extended XYZ format:
```
3
Lattice="0.000 3.621 3.621 3.621 0.000 3.621 3.621 3.621 0.000" Properties=species:S:1:pos:R:3 pbc="T T T"
Pu 5.432 5.432 5.432
Sr 1.811 1.811 1.811
Ta 0.000 0.000 0.000
```

energy = -7.8480 eV per atom
SG = F-43m (216)

=====

(17)
Material: LiTmTe2
Method: DFT, PBE-GGA
State: relaxed

The structure in extended XYZ format:
```
8
Lattice="-5.272 -1.233 5.949 -7.374 -0.277 -3.204 6.753 -3.909 -1.959" Properties=species:S:1:pos:R:3 pbc="T T T"
Li 0.000 0.000 0.000
Li -2.421 -2.949 2.682
Te -8.436 -0.755 -0.635
Te 1.778 -2.081 -0.684
Te -4.509 -2.960 0.785
Te -0.618 -5.041 2.108
Tm -6.323 -0.755 1.373
Tm -3.472 -2.470 -1.895
```

energy = -4.2462 eV per atom
SG = I-42d (122)

=====

(18)
Material: LaGe2PdAu
Method: DFT, PBE-GGA
State: relaxed

The structure in extended XYZ format:
```
5
Lattice="3.688 -1.922 4.463 1.551 3.975 4.360 -5.115 -1.902 -2.726" Properties=species:S:1:pos:R:3 pbc="T T T"
Au -0.473 1.550 3.023
Ge 1.994 0.781 3.358
Ge 3.245 1.271 5.464
La 0.000 0.000 0.000
Pd 0.596 -1.399 3.074
```

energy = -5.2617 eV per atom
SG = I-4m2 (119)

=====

(19)
Material: U2GeTe4
Method: DFT, PBE-GGA
State: relaxed

The structure in extended XYZ format:
```
7
Lattice="1.576 0.429 7.340 -4.902 -5.625 -0.933 3.255 -2.747 -0.538" Properties=species:S:1:pos:R:3 pbc="T T T"
Ge -1.663 -2.598 3.204
Te -0.005 -1.049 5.321
Te -3.321 -4.148 1.086
Te 0.778 -2.701 1.367
Te -0.849 -5.243 4.502
U 2.416 -1.159 3.401
U -0.824 -4.186 -0.736
```

energy = -6.0360 eV per atom
SG = Cmmm (65)

=====

(20)
Material: CdPtSO
Method: DFT, PBE-GGA
State: relaxed

The structure in extended XYZ format:
```
8
Lattice="-1.660 1.502 -2.886 -3.032 -1.889 0.762 -3.581 8.328 6.395" Properties=species:S:1:pos:R:3 pbc="T T T"
Cd -4.953 3.044 0.967
Cd -3.321 4.898 3.304
O -2.601 3.223 2.018
O -5.673 4.719 2.253
Pt -2.003 0.654 -1.974
Pt -2.689 -1.041 -0.150
S -1.705 1.141 0.419
S -6.568 6.801 3.852
```

energy = -4.0879 eV per atom
SG = P4/nmm (129)